DFT (PBE) results for a geometry-optimized Sm5Y2Sc structure.

Unit cell a=6.5366 b=6.5366 c=16.0242 alpha=90.00 beta=90.00 gamma=129.60
Fractional positions:
Sm (0.0301, 0.9699, 0.7500)
Sm (0.1135, 0.8865, 0.0544)
Sm (0.1135, 0.8865, 0.4456)
Sm (0.4181, 0.5819, 0.0905)
Sm (0.4181, 0.5819, 0.4095)
Sm (0.5819, 0.4181, 0.5905)
Sm (0.5819, 0.4181, 0.9095)
Sm (0.8865, 0.1135, 0.5544)
Sm (0.8865, 0.1135, 0.9456)
Sm (0.9699, 0.0301, 0.2500)
Y (0.2748, 0.7252, 0.6355)
Y (0.2748, 0.7252, 0.8645)
Y (0.7252, 0.2748, 0.1355)
Y (0.7252, 0.2748, 0.3645)
Sc (0.2467, 0.7533, 0.2500)
Sc (0.7533, 0.2467, 0.7500)

Properties
symmetry: Cmcm (63)
ΔH_f (0 K): 0.128 eV per atom

=====

DFT (PBE) results for a geometry-optimized Tb6SmEr2 structure.

Unit cell a=3.5583 b=8.7004 c=9.4028 alpha=90.08 beta=100.87 gamma=90.06
Fractional positions:
Tb (0.1102, 0.1655, 0.2216)
Tb (0.2220, 0.8343, 0.4435)
Tb (0.3332, 0.5003, 0.6659)
Tb (0.6668, 0.4997, 0.3341)
Tb (0.7780, 0.1657, 0.5565)
Tb (0.8898, 0.8345, 0.7784)
Sm (0.0000, 0.5000, 0.0000)
Er (0.4438, 0.1653, 0.8891)
Er (0.5562, 0.8347, 0.1109)

Properties
symmetry: P-1 (2)
ΔH_f (0 K): 0.016 eV per atom
ΔE to the lowest computed polymorph: 0 meV/atom

=====

DFT (PBE) results for a geometry-optimized AlHPd3 structure.

Unit cell a=5.2007 b=5.2007 c=5.2007 alpha=78.12 beta=78.12 gamma=78.12
Fractional positions:
Al (0.0000, 0.0000, 0.0000)
Al (0.5000, 0.5000, 0.5000)
H (0.2500, 0.2500, 0.2500)
H (0.7500, 0.7500, 0.7500)
Pd (0.0265, 0.7500, 0.4735)
Pd (0.2500, 0.5265, 0.9735)
Pd (0.4735, 0.0265, 0.7500)
Pd (0.5265, 0.9735, 0.2500)
Pd (0.7500, 0.4735, 0.0265)
Pd (0.9735, 0.2500, 0.5265)

Properties
symmetry: R-3c (167)
ΔE to the lowest computed polymorph: 239 meV/atom

=====

DFT (PBE) results for a geometry-optimized FeHgRh structure.

Unit cell a=5.6681 b=5.6681 c=5.6681 alpha=149.13 beta=149.13 gamma=44.21
Fractional positions:
Fe (0.0000, 0.0000, 0.0000)
Hg (0.6795, 0.6795, 0.0000)
Rh (0.3683, 0.3683, 0.0000)

Properties
symmetry: I4mm (107)
ΔH_f (0 K): 0.161 eV per atom
ΔE to the lowest computed polymorph: 0 meV/atom

=====

DFT (PBE) results for a geometry-optimized Nb14IrOs structure.

Unit cell a=6.5325 b=6.5325 c=6.5823 alpha=90.00 beta=90.00 gamma=90.00
Fractional positions:
Nb (0.0000, 0.0000, 0.0000)
Nb (0.0000, 0.5000, 0.0000)
Nb (0.0000, 0.5000, 0.5000)
Nb (0.2488, 0.2488, 0.2542)
Nb (0.2488, 0.2488, 0.7458)
Nb (0.2488, 0.7512, 0.2542)
Nb (0.2488, 0.7512, 0.7458)
Nb (0.5000, 0.0000, 0.0000)
Nb (0.5000, 0.0000, 0.5000)
Nb (0.5000, 0.5000, 0.0000)
Nb (0.7512, 0.2488, 0.2542)
Nb (0.7512, 0.2488, 0.7458)
Nb (0.7512, 0.7512, 0.2542)
Nb (0.7512, 0.7512, 0.7458)
Ir (0.5000, 0.5000, 0.5000)
Os (0.0000, 0.0000, 0.5000)

Properties
symmetry: P4/mmm (123)
ΔH_f (0 K): -0.194 eV per atom

=====

DFT (PBE) results for a geometry-optimized CaCoGe2 structure.

Unit cell a=7.6721 b=6.4882 c=5.6609 alpha=90.00 beta=90.00 gamma=90.00
Fractional positions:
Ca (0.0401, 0.2500, 0.1171)
Ca (0.4599, 0.7500, 0.6171)
Ca (0.5401, 0.2500, 0.3829)
Ca (0.9599, 0.7500, 0.8829)
Co (0.1064, 0.7500, 0.3660)
Co (0.3936, 0.2500, 0.8660)
Co (0.6064, 0.7500, 0.1340)
Co (0.8936, 0.2500, 0.6340)
Ge (0.1721, 0.0564, 0.6166)
Ge (0.1721, 0.4436, 0.6166)
Ge (0.3279, 0.5564, 0.1166)
Ge (0.3279, 0.9436, 0.1166)
Ge (0.6721, 0.0564, 0.8834)
Ge (0.6721, 0.4436, 0.8834)
Ge (0.8279, 0.5564, 0.3834)
Ge (0.8279, 0.9436, 0.3834)

Properties
symmetry: Pnma (62)
ΔH_f (0 K): -0.364 eV per atom

=====

Number 1: theoretical density 6.14 g cm⁻³, Fermi-level density of states 26.01 states/eV per cell. Number 2: theoretical density 8.36 g cm⁻³, Fermi-level density of states 12.42 states/eV per cell. Number 3: theoretical density 8.69 g cm⁻³, Fermi-level density of states 2.43 states/eV per cell. Number 4: theoretical density 12.49 g cm⁻³, Fermi-level density of states 2.50 states/eV per cell. Number 5: theoretical density 9.95 g cm⁻³, Fermi-level density of states 15.35 states/eV per cell. Number 6: theoretical density 5.76 g cm⁻³, Fermi-level density of states 11.86 states/eV per cell.